[1]
Density functional theory data (PBE) for an optimized crystal structure of Li4Cu5Ir.

```
data_Li4Cu5Ir
_symmetry_space_group_name_H-M 'I 4 m m'
_symmetry_Int_Tables_number 107
_symmetry_space_group_name_Hall 'I 4 -2'
_cell_length_a 7.620
_cell_length_b 7.620
_cell_length_c 4.822
_cell_angle_alpha 90.00
_cell_angle_beta 90.00
_cell_angle_gamma 90.00
loop_
_atom_site_label
_atom_site_fract_x
_atom_site_fract_y
_atom_site_fract_z
Li1 0.196 0.196 0.000
Cu1 0.000 0.000 0.780
Cu2 0.000 0.340 0.398
Ir1 0.000 0.000 0.297
```

raw total energy: -3.53 eV per atom
energy of formation from the pure elements: 168 kJ/mol of formula units
Fermi-level density of states: 0.189 states/eV per atom

[2]
Density functional theory data (PBE) for an optimized crystal structure of LiCu4Ir.

```
data_LiCu4Ir
_symmetry_space_group_name_H-M 'C m c m'
_symmetry_Int_Tables_number 63
_symmetry_space_group_name_Hall '-C 2c 2'
_cell_length_a 5.016
_cell_length_b 14.386
_cell_length_c 4.192
_cell_angle_alpha 90.00
_cell_angle_beta 90.00
_cell_angle_gamma 90.00
loop_
_atom_site_label
_atom_site_fract_x
_atom_site_fract_y
_atom_site_fract_z
Li1 0.000 0.124 0.250
Cu1 0.244 0.459 0.250
Cu2 0.248 0.291 0.250
Ir1 0.000 0.371 0.750
```

raw total energy: -4.48 eV per atom
energy of formation from the pure elements: 28 kJ/mol of formula units
Fermi-level density of states: 0.559 states/eV per atom

[3]
Density functional theory data (PBE) for an optimized crystal structure of LiCuIr.

```
data_LiCuIr
_symmetry_space_group_name_H-M 'I m m 2'
_symmetry_Int_Tables_number 44
_cell_length_a 2.499
_cell_length_b 4.050
_cell_length_c 7.818
_cell_angle_alpha 90.00
_cell_angle_beta 90.00
_cell_angle_gamma 90.00
loop_
_symmetry_equiv_pos_as_xyz
'x,y,z'
'-x,-y,z'
'-x,y,z'
'x,-y,z'
'x+1/2,y+1/2,z+1/2'
'-x+1/2,-y+1/2,z+1/2'
'-x+1/2,y+1/2,z+1/2'
'x+1/2,-y+1/2,z+1/2'
loop_
_atom_site_label
_atom_site_fract_x
_atom_site_fract_y
_atom_site_fract_z
Li1 0.000 0.000 0.000
Cu1 0.000 0.000 0.673
Ir1 0.000 0.000 0.330
```

raw total energy: -4.95 eV per atom
energy of formation from the pure elements: 1 kJ/mol of formula units
Fermi-level density of states: 0.530 states/eV per atom

[4]
Density functional theory data (PBE) for an optimized crystal structure of LiLuCuIr.

```
data_LiLuCuIr
_symmetry_space_group_name_H-M 'F -4 3 m'
_symmetry_Int_Tables_number 216
_symmetry_space_group_name_Hall 'F -4 2 3'
_cell_length_a 6.409
_cell_length_b 6.409
_cell_length_c 6.409
_cell_angle_alpha 90.00
_cell_angle_beta 90.00
_cell_angle_gamma 90.00
loop_
_atom_site_label
_atom_site_fract_x
_atom_site_fract_y
_atom_site_fract_z
Li1 0.000 0.000 0.000
Lu1 0.000 0.000 0.500
Cu1 0.250 0.250 0.750
Ir1 0.250 0.250 0.250
```

raw total energy: -5.21 eV per atom
energy of formation from the pure elements: -139 kJ/mol of formula units
Fermi-level density of states: 0.213 states/eV per atom

[5]
Density functional theory data (PBE) for an optimized crystal structure of LiMgCuIr.

```
data_LiMgCuIr
_symmetry_space_group_name_H-M 'F -4 3 m'
_symmetry_Int_Tables_number 216
_symmetry_space_group_name_Hall 'F -4 2 3'
_cell_length_a 6.113
_cell_length_b 6.113
_cell_length_c 6.113
_cell_angle_alpha 90.00
_cell_angle_beta 90.00
_cell_angle_gamma 90.00
loop_
_atom_site_label
_atom_site_fract_x
_atom_site_fract_y
_atom_site_fract_z
Li1 0.000 0.000 0.000
Mg1 0.250 0.250 0.750
Cu1 0.250 0.250 0.250
Ir1 0.000 0.000 0.500
```

raw total energy: -4.27 eV per atom
energy of formation from the pure elements: -57 kJ/mol of formula units
Fermi-level density of states: 0.284 states/eV per atom

[6]
Density functional theory data (PBE) for an optimized crystal structure of LiMnCuIr.

```
data_LiMnCuIr
_symmetry_space_group_name_H-M 'F -4 3 m'
_symmetry_Int_Tables_number 216
_symmetry_space_group_name_Hall 'F -4 2 3'
_cell_length_a 5.925
_cell_length_b 5.925
_cell_length_c 5.925
_cell_angle_alpha 90.00
_cell_angle_beta 90.00
_cell_angle_gamma 90.00
loop_
_atom_site_label
_atom_site_fract_x
_atom_site_fract_y
_atom_site_fract_z
Li1 0.000 0.000 0.000
Mn1 0.000 0.000 0.500
Cu1 0.250 0.250 0.750
Ir1 0.250 0.250 0.250
```

raw total energy: -6.02 eV per atom
energy of formation from the pure elements: -4 kJ/mol of formula units
Fermi-level density of states: 0.827 states/eV per atom

- Which formula does entry 1 have?
  Li4Cu5Ir

- What is the Fermi-level density of states in the sixth record?
  0.827 states/eV per atom

- Which formula does entry 2 have?
  LiCu4Ir

- Look up the raw total energy of the sixth one.
  -6.02 eV per atom